Zn5Cu2Au PBE optimized geometry; formation energy from the elements = -93 meV/atom; total energy = -18.59 eV/f.u.
1.0
4.322 0.584 -1.397
0.239 4.354 -1.397
-0.809 -0.876 6.616
Cu Zn Au
2 5 1
direct
0.754 0.754 0.508
0.246 0.246 0.492
0.133 0.633 0.267
0.867 0.367 0.733
0.000 0.000 0.000
0.367 0.867 0.733
0.633 0.133 0.267
0.500 0.500 0.000